Entry 1:
Material: Y2CoNiH6
Method: DFT, PBE-GGA
State: relaxed

Computed properties:
- calculated volume (Å³/atom) = 8.6
- raw total energy (eV/atom) = -5.05
- total moment (μB per cell) = 0.423

Unit cell a=4.956 b=4.956 c=4.956 alpha=60.00 beta=60.00 gamma=60.00
Fractional coordinates of all 10 atoms:
Y 0.250 0.250 0.250
Y 0.750 0.750 0.750
Co 0.000 0.000 0.000
Ni 0.500 0.500 0.500
H 0.244 0.244 0.756
H 0.244 0.756 0.244
H 0.244 0.756 0.756
H 0.756 0.244 0.244
H 0.756 0.244 0.756
H 0.756 0.756 0.244

Entry 2:
Material: TbErCSe
Method: DFT, PBE-GGA
State: relaxed

Computed properties:
- calculated volume (Å³/atom) = 20.2
- raw total energy (eV/atom) = -6.63
- total moment (μB per cell) = 0.005

Unit cell a=3.752 b=3.752 c=13.243 alpha=90.00 beta=90.00 gamma=120.00
Fractional coordinates of all 8 atoms:
Tb 0.333 0.667 0.000
Tb 0.667 0.333 0.500
Er 0.333 0.667 0.300
Er 0.667 0.333 0.800
C 0.000 0.000 0.399
C 0.000 0.000 0.899
Se 0.333 0.667 0.653
Se 0.667 0.333 0.153

Entry 3:
Material: NdTm2Al7Ag2
Method: DFT, PBE-GGA
State: relaxed

Computed properties:
- calculated volume (Å³/atom) = 19.6
- raw total energy (eV/atom) = -4.26
- total moment (μB per cell) = 0.001

Unit cell a=9.353 b=9.353 c=9.353 alpha=34.58 beta=34.58 gamma=34.58
Fractional coordinates of all 12 atoms:
Nd 0.000 0.000 0.000
Tm 0.142 0.142 0.142
Tm 0.858 0.858 0.858
Al 0.077 0.589 0.589
Al 0.411 0.411 0.923
Al 0.411 0.923 0.411
Al 0.500 0.500 0.500
Al 0.589 0.077 0.589
Al 0.589 0.589 0.077
Al 0.923 0.411 0.411
Ag 0.336 0.336 0.336
Ag 0.664 0.664 0.664